Here is a relaxed structure of Pu6HgAu5 from the Alexandria database. Energies are from PBE.

Output
- M_tot: 11.860 μB per cell
- Energy of formation: -0.36 eV/atom
- Symmetry: C2/m (12)

a b c (Å): 5.473 9.207 9.207
angles (deg): 125.26 107.26 107.26
Site moments in Bohr magnetons follow the coordinates.
Sites, in units of the cell vectors:
Pu 0.746 0.918 0.575  5.53
Pu 0.746 0.575 0.918  5.53
Pu 0.242 0.741 0.741  -5.52
Pu 0.758 0.259 0.259  -5.52
Pu 0.254 0.425 0.082  5.53
Pu 0.254 0.082 0.425  5.53
Au 0.000 0.665 0.335  0.02
Au 0.500 0.840 0.160  0.02
Au 0.500 0.500 0.500  -0.01
Au 0.500 0.160 0.840  0.02
Au 0.000 0.335 0.665  0.02
Hg 0.000 0.000 0.000  -0.01

***

Here is a relaxed structure of PuHgAu2 from the Alexandria database. Energies are from PBE.

Output
- M_tot: 5.606 μB per cell
- Energy of formation: -0.26 eV/atom
- Distance to the lowest polymorph of the same formula: 50 meV/atom
- Symmetry: P4/mmm (123)

a b c (Å): 3.602 3.602 6.990
angles (deg): 90.00 90.00 90.00
Site moments in Bohr magnetons follow the coordinates.
Sites, in units of the cell vectors:
Pu 0.500 0.500 0.500  5.32
Au 0.000 0.000 0.758  0.01
Au 0.000 0.000 0.242  0.01
Hg 0.500 0.500 0.000  0.00

***

Here is a relaxed structure of Pu2HgAu from the Alexandria database. Energies are from PBE.

Output
- M_tot: 11.605 μB per cell
- Energy of formation: -0.24 eV/atom
- Distance to the lowest polymorph of the same formula: 0 meV/atom
- Symmetry: P4/mmm (123)

a b c (Å): 3.891 3.891 6.581
angles (deg): 90.00 90.00 90.00
Site moments in Bohr magnetons follow the coordinates.
Sites, in units of the cell vectors:
Au 0.500 0.500 0.000  0.02
Pu 0.000 0.000 0.762  5.49
Pu 0.000 0.000 0.238  5.49
Hg 0.500 0.500 0.500  0.03

***

Here is a relaxed structure of Pu2HgAu from the Alexandria database. Energies are from PBE.

Output
- M_tot: 11.678 μB per cell
- Energy of formation: -0.23 eV/atom
- Distance to the lowest polymorph of the same formula: 16 meV/atom
- Symmetry: P4/mmm (123)

a b c (Å): 3.193 5.574 5.574
angles (deg): 90.00 90.00 90.00
Site moments in Bohr magnetons follow the coordinates.
Sites, in units of the cell vectors:
Pu 0.000 0.000 0.500  5.52
Pu 0.000 0.500 0.000  5.52
Au 0.500 0.000 0.000  0.04
Hg 0.500 0.500 0.500  0.02